# 1
Tl2ReAs | meta-GGA SCAN | PBEsol geometry

Calculated values
* uncorrected energy: -58.38 eV per atom
* DFT formation energy: 617 meV/atom
* polymorph energy (0 for the lowest one): 0.286 eV per atom

The structure in POSCAR format:
```
Tl2ReAs
1.0
3.123 0.000 0.000
0.000 5.055 0.051
-1.561 -1.773 5.263
Re Tl As
1 2 1
direct
0.782 0.226 0.564
0.036 0.072 0.072
0.237 0.716 0.474
0.445 0.486 0.890
```

=====

# 2
Re2AsW | meta-GGA SCAN | PBEsol geometry

Calculated values
* uncorrected energy: -57.75 eV per atom
* DFT formation energy: 267 meV/atom

The structure in POSCAR format:
```
Re2AsW
1.0
-0.582 0.140 2.760
1.905 -0.878 1.891
3.824 7.757 1.857
Re As W
2 1 1
direct
0.000 0.000 0.000
0.748 0.748 0.756
0.251 0.251 0.247
0.501 0.501 0.497
```

=====

Number 1: N(E_F) 1.8 states/eV per cell. Number 2: N(E_F) 3.0 states/eV per cell.